No. 1
Density functional theory data (GGA-PBE) for an optimized crystal structure of ZrHPbBr.

a b c (Å): 3.514 4.499 7.003
angles (deg): 111.83 90.03 90.00
Atoms (fractional coordinates):
Zr 0.725 0.264 0.986
H 0.725 0.522 0.272
Pb 0.225 0.850 0.141
Br 0.224 0.050 0.665

- SG: No. 6
- Crystal system: monoclinic


No. 2
Density functional theory data (GGA-PBE) for an optimized crystal structure of ZrHPbBr.

a b c (Å): 3.604 3.603 8.479
angles (deg): 101.39 90.83 119.82
Atoms (fractional coordinates):
Zr 0.625 0.306 0.064
H 0.544 0.159 0.834
Pb 0.180 0.439 0.749
Br 0.370 0.783 0.289

- SG: No. 8
- Crystal system: monoclinic


No. 3
Density functional theory data (GGA-PBE) for an optimized crystal structure of ZrHPbBr.

a b c (Å): 3.482 3.482 8.708
angles (deg): 88.55 88.58 60.34
Atoms (fractional coordinates):
Zr 0.062 0.617 0.115
H 0.742 0.297 0.643
Pb 0.774 0.329 0.847
Br 0.389 0.943 0.332

- SG: No. 8
- Crystal system: monoclinic


Values of polymorph energy (0 for the lowest one), in order: 140; 34; 104, all in meV per atom.